Material: H6PdPtPb2
Method: DFT, GGA-PBE
State: optimized geometry

Geometry as POSCAR:
```
H6PdPtPb2
1.0
4.8928 -0.0155 -0.5741
-0.0165 4.8930 -0.5724
-3.0140 -3.0167 6.2757
H Pd Pt Pb
6 1 1 2
direct
0.7706 0.7711 0.0187
0.7373 0.7378 0.3030
0.2862 0.2867 0.0568
0.7909 0.2798 0.0449
0.2037 0.2042 0.2900
0.2792 0.7914 0.0449
0.4922 0.4927 0.9949
0.9967 0.9972 0.9911
0.7255 0.2171 0.6269
0.2166 0.7260 0.6269
```

Output
SG ... Cm (8)
Raw total energy ... -3.84 eV/atom